! NaMoO2, relaxed, DFT PBE+U; values from VASP
&SYSTEM
  ibrav = 0, nat = 4, ntyp = 3
/
ATOMIC_SPECIES
Na 22.99 Na.upf
Mo 95.94 Mo.upf
O 16.00 O.upf
ATOMIC_POSITIONS angstrom
Na -0.928 -0.139 3.346
Mo 0.676 -1.306 1.237
O -2.525 1.838 3.320
O -0.683 0.497 0.897
CELL_PARAMETERS angstrom
-0.774 -2.484 0.786
2.126 -0.128 1.688
-3.208 2.334 4.217
! Space-group type ... P4/mmm (123)
! Electronic total energy ... -5.736 eV/atom
! D(E_F) ... 0.28 states/eV/atom
! Total magnetization ... 0.2 Bohr magnetons per cell
! Excess energy over the best structure of this formula in the dataset ... 528 meV/atom